This record from Alexandria describes a geometry-optimized CaGa3Se structure. The functional is PBE.

Formation energy from raw total energies: 0.132 eV/atom
Excess energy over the best structure of this formula in the dataset: 0.0 meV per atom
Symmetry: No. 221

abc: 5.2462 5.2462 5.2462
angles: 90.00 90.00 90.00
Closest atoms and distances in Å follow each position.
Sites, in units of the cell vectors:
Ca 0.5000 0.5000 0.5000  12 Ga 3.71
Ga 0.5000 0.0000 0.0000  2 Se 2.62
Ga 0.0000 0.0000 0.5000  2 Se 2.62
Ga 0.0000 0.5000 0.0000  2 Se 2.62
Se 0.0000 0.0000 0.0000  6 Ga 2.62